1.
DFT (PBE) results for Pr3Y4Tm8 after structural relaxation.

- space-group type = C2/m, No. 12
- formation energy from the elements (eV/f.u.) = 5.911

a b c (Å): 9.262 9.262 6.733
angles (deg): 111.28 111.28 87.69
Element x y z (fractional)
Pr 0.000 0.000 0.000
Pr 0.000 0.500 0.000
Pr 0.500 0.000 0.000
Y 0.000 0.500 0.500
Y 0.500 0.000 0.500
Y 0.500 0.500 0.000
Y 0.500 0.500 0.500
Tm 0.139 0.861 0.500
Tm 0.233 0.233 0.969
Tm 0.234 0.234 0.493
Tm 0.246 0.754 0.000
Tm 0.754 0.246 0.000
Tm 0.766 0.766 0.507
Tm 0.767 0.767 0.031
Tm 0.861 0.139 0.500


2.
DFT (PBE) results for Ca2ErCd after structural relaxation.

- distance to the lowest polymorph of the same formula (meV/atom) = 8
- space-group type = P4/mmm, No. 123
- formation energy from the elements (eV/f.u.) = -0.144

a b c (Å): 4.874 4.874 5.263
angles (deg): 90.00 90.00 90.00
Element x y z (fractional)
Ca 0.000 0.500 0.000
Ca 0.500 0.000 0.000
Er 0.000 0.000 0.500
Cd 0.500 0.500 0.500


3.
DFT (PBE) results for NaRuOF2 after structural relaxation.

- space-group type = P4/mmm, No. 123
- raw total energy (eV/atom) = -4.2422

a b c (Å): 3.917 3.917 4.266
angles (deg): 90.00 90.00 90.00
Element x y z (fractional)
Na 0.000 0.000 0.000
Ru 0.500 0.500 0.500
O 0.000 0.000 0.500
F 0.000 0.500 0.000
F 0.500 0.000 0.000


4.
DFT (PBE) results for LiErMgOs after structural relaxation.

- space-group type = F-43m, No. 216
- formation energy from the elements (eV/f.u.) = -0.195

a b c (Å): 6.658 6.658 6.658
angles (deg): 90.00 90.00 90.00
Element x y z (fractional)
Li 0.000 0.000 0.000
Li 0.000 0.500 0.500
Li 0.500 0.000 0.500
Li 0.500 0.500 0.000
Er 0.250 0.250 0.250
Er 0.250 0.750 0.750
Er 0.750 0.250 0.750
Er 0.750 0.750 0.250
Mg 0.250 0.250 0.750
Mg 0.250 0.750 0.250
Mg 0.750 0.250 0.250
Mg 0.750 0.750 0.750
Os 0.000 0.000 0.500
Os 0.000 0.500 0.000
Os 0.500 0.000 0.000
Os 0.500 0.500 0.500


Total magnetic moment in μB/cell, matching the order above: 0.00 0.00 5.00 0.00